Model P:
The following is a DFT calculation (PBE-GGA) of a relaxed Na2ZrSe2 crystal.

symmetry = I4/mmm, No. 139

Cell: 5.5467 5.5467 5.5467 Å, 124.18 124.18 82.90°
With the nearest neighbours (Å) after each atom.
Fractional positions:
Na 0.1430 0.1430 0.0000  1 Na 2.38
Na 0.8570 0.8570 0.0000  1 Na 2.38
Zr 0.5000 0.5000 0.0000  2 Na 2.97
Se 0.2500 0.7500 0.5000  4 Na 2.74
Se 0.7500 0.2500 0.5000  4 Na 2.74

---

Model Q:
The following is a DFT calculation (PBE-GGA) of a relaxed Na2ZrSe2 crystal.

symmetry = P4/mbm, No. 127

Cell: 7.4234 7.4234 4.1674 Å, 90.00 90.00 90.00°
With the nearest neighbours (Å) after each atom.
Fractional positions:
Na 0.1380 0.3620 0.0000  6 Se 2.85-3.15, 1 Na 2.90
Na 0.3620 0.8620 0.0000  6 Se 2.85-3.15, 1 Na 2.90
Na 0.6380 0.1380 0.0000  6 Se 2.85-3.15, 1 Na 2.90
Na 0.8620 0.6380 0.0000  6 Se 2.85-3.15, 1 Na 2.90
Zr 0.0000 0.0000 0.5000  4 Se 2.73
Zr 0.5000 0.5000 0.5000  4 Se 2.73
Se 0.1773 0.6773 0.5000  2 Zr 2.73, 2 Na 2.85
Se 0.3227 0.1773 0.5000  2 Zr 2.73, 2 Na 2.85
Se 0.6773 0.8227 0.5000  2 Zr 2.73, 2 Na 2.85
Se 0.8227 0.3227 0.5000  2 Zr 2.73, 2 Na 2.85

---

The most stable of them is model Q.

---

Model P:
The following is a DFT calculation (PBE-GGA) of a relaxed NaSi2 crystal.

symmetry = P-1, No. 2

Cell: 3.8309 5.0333 7.3773 Å, 81.34 88.14 71.24°
With the nearest neighbours (Å) after each atom.
Fractional positions:
Na 0.1594 0.2481 0.3612  4 Si 2.95-3.14
Na 0.8406 0.7519 0.6388  4 Si 2.95-3.14
Si 0.1664 0.1463 0.7918  3 Si 2.40-2.47
Si 0.3943 0.7367 0.0365  4 Si 2.40-2.47
Si 0.6057 0.2633 0.9635  4 Si 2.40-2.47
Si 0.8336 0.8537 0.2082  3 Si 2.40-2.47

---

Model Q:
The following is a DFT calculation (PBE-GGA) of a relaxed NaSi2 crystal.

symmetry = Pmmn, No. 59

Cell: 4.3320 4.3505 6.6962 Å, 90.00 90.00 90.00°
With the nearest neighbours (Å) after each atom.
Fractional positions:
Na 0.2500 0.2500 0.1467  9 Si 3.10-3.27
Na 0.7500 0.7500 0.8533  9 Si 3.10-3.27
Si 0.2500 0.2500 0.6834  4 Si 2.49-2.50
Si 0.2500 0.7500 0.5004  4 Si 2.49-2.50
Si 0.7500 0.2500 0.4996  4 Si 2.49-2.50
Si 0.7500 0.7500 0.3166  4 Si 2.49-2.50

---

Model R:
The following is a DFT calculation (PBE-GGA) of a relaxed NaSi2 crystal.

symmetry = R3m, No. 160

Cell: 5.6957 5.6957 5.6957 Å, 39.61 39.61 39.61°
With the nearest neighbours (Å) after each atom.
Fractional positions:
Na 0.0000 0.0000 0.0000  7 Si 3.09-3.22
Si 0.5188 0.5188 0.5188  3 Si 2.35
Si 0.8038 0.8038 0.8038  3 Si 2.35

---

Model S:
The following is a DFT calculation (PBE-GGA) of a relaxed NaSi2 crystal.

symmetry = R-3m, No. 166

Cell: 5.8281 5.8281 5.8281 Å, 38.57 38.57 38.57°
With the nearest neighbours (Å) after each atom.
Fractional positions:
Na 0.0000 0.0000 0.0000  8 Si 3.09-3.20
Si 0.1909 0.1909 0.1909  3 Si 2.36
Si 0.8091 0.8091 0.8091  3 Si 2.36

---

The most stable of them is model P.

---

Model P:
The following is a DFT calculation (PBE-GGA) of a relaxed NaSi2 crystal.

symmetry = C2/m, No. 12

Cell: 6.0689 6.0689 6.2881 Å, 101.74 101.74 36.82°
With the nearest neighbours (Å) after each atom.
Fractional positions:
Na 0.1915 0.1915 0.2439  9 Si 3.17-3.31
Na 0.8085 0.8085 0.7561  9 Si 3.17-3.31
Si 0.0807 0.0807 0.6631  3 Si 2.35-2.45
Si 0.4597 0.4597 0.1488  3 Si 2.26-2.35
Si 0.5403 0.5403 0.8512  3 Si 2.26-2.35
Si 0.9193 0.9193 0.3369  3 Si 2.35-2.45

---

Model Q:
The following is a DFT calculation (PBE-GGA) of a relaxed NaSi2 crystal.

symmetry = I4/mmm, No. 139

Cell: 6.0677 6.0677 6.0677 Å, 149.21 149.21 44.10°
With the nearest neighbours (Å) after each atom.
Fractional positions:
Na 0.0000 0.0000 0.0000  10 Si 3.20-3.37, 4 Na 3.22
Si 0.2999 0.2999 0.0000  4 Si 2.54
Si 0.7001 0.7001 0.0000  4 Si 2.54

---

Model R:
The following is a DFT calculation (PBE-GGA) of a relaxed NaSi2 crystal.

symmetry = P1, No. 1

Cell: 3.7926 4.8843 7.5815 Å, 78.34 83.99 74.46°
With the nearest neighbours (Å) after each atom.
Fractional positions:
Na 0.0000 0.0000 0.0000  6 Si 2.99-3.27, 2 Na 3.22-3.30
Na 0.4414 0.4257 0.2533  5 Si 2.94-3.28, 1 Na 3.22
Si 0.2075 0.9257 0.5792  4 Si 2.40-2.47
Si 0.4123 0.5065 0.8211  3 Si 2.41-2.47
Si 0.7811 0.8200 0.4059  3 Si 2.40-2.45
Si 0.9852 0.4044 0.6454  4 Si 2.40-2.45

---

The most stable of them is model R.

---

Model P:
The following is a DFT calculation (PBE-GGA) of a relaxed NaSi2 crystal.

symmetry = P-3m1, No. 164

Cell: 3.8766 3.8766 5.1118 Å, 90.00 90.00 120.00°
With the nearest neighbours (Å) after each atom.
Fractional positions:
Na 0.0000 0.0000 0.0000  6 Si 3.14
Si 0.3333 0.6667 0.5687  3 Si 2.35
Si 0.6667 0.3333 0.4313  3 Si 2.35

---

Model Q:
The following is a DFT calculation (PBE-GGA) of a relaxed NaSi2 crystal.

symmetry = Fd-3m, No. 227

Cell: 5.2667 5.2667 5.2667 Å, 60.00 60.00 60.00°
With the nearest neighbours (Å) after each atom.
Fractional positions:
Na 0.1250 0.1250 0.1250  12 Si 3.09, 4 Na 3.23
Na 0.8750 0.8750 0.8750  12 Si 3.09, 4 Na 3.23
Si 0.0000 0.5000 0.5000  6 Si 2.63
Si 0.5000 0.0000 0.5000  6 Si 2.63
Si 0.5000 0.5000 0.0000  6 Si 2.63
Si 0.5000 0.5000 0.5000  6 Si 2.63

---

The most stable of them is model P.

---

Model P:
The following is a DFT calculation (PBE-GGA) of a relaxed NaSi6 crystal.

symmetry = Cmcm, No. 63

Cell: 5.7386 5.7386 12.5604 Å, 90.00 90.00 139.23°
With the nearest neighbours (Å) after each atom.
Fractional positions:
Na 0.2071 0.7929 0.7500  14 Si 3.22-3.41
Na 0.7929 0.2071 0.2500  14 Si 3.22-3.41
Si 0.0709 0.9291 0.1556  4 Si 2.37-2.39
Si 0.0709 0.9291 0.3444  4 Si 2.37-2.39
Si 0.2571 0.7429 0.0513  4 Si 2.38-2.39
Si 0.2571 0.7429 0.4487  4 Si 2.38-2.39
Si 0.4730 0.5270 0.0936  4 Si 2.38-2.42
Si 0.4730 0.5270 0.4064  4 Si 2.38-2.42
Si 0.5270 0.4730 0.5936  4 Si 2.38-2.42
Si 0.5270 0.4730 0.9064  4 Si 2.38-2.42
Si 0.7429 0.2571 0.5513  4 Si 2.38-2.39
Si 0.7429 0.2571 0.9487  4 Si 2.38-2.39
Si 0.9291 0.0709 0.6556  4 Si 2.37-2.39
Si 0.9291 0.0709 0.8444  4 Si 2.37-2.39

---

Model Q:
The following is a DFT calculation (PBE-GGA) of a relaxed NaSi6 crystal.

symmetry = Im-3m, No. 229

Cell: 5.8312 5.8312 5.8312 Å, 109.47 109.47 109.47°
With the nearest neighbours (Å) after each atom.
Fractional positions:
Na 0.0000 0.0000 0.0000  24 Si 3.76
Si 0.2500 0.5000 0.7500  4 Si 2.38
Si 0.2500 0.7500 0.5000  4 Si 2.38
Si 0.5000 0.2500 0.7500  4 Si 2.38
Si 0.5000 0.7500 0.2500  4 Si 2.38
Si 0.7500 0.2500 0.5000  4 Si 2.38
Si 0.7500 0.5000 0.2500  4 Si 2.38

---

The most stable of them is model P.